1 | Y3AlCo PBE optimized geometry; crystal system = monoclinic; density of states at the Fermi level = 4.44 states/eV/f.u.; total magnetization = 0.00 μB per atom; SG = C2/m, No. 12
1.0
5.002 -3.160 0.000
5.002 3.160 0.000
-3.768 0.000 7.759
Y Al Co
6 2 2
direct
0.019 0.019 0.225
0.299 0.299 0.671
0.314 0.314 0.134
0.686 0.686 0.866
0.701 0.701 0.329
0.981 0.981 0.775
0.293 0.707 0.500
0.707 0.293 0.500
0.315 0.685 0.000
0.685 0.315 0.000

---

2 | Y3AlCo PBE optimized geometry; crystal system = cubic; density of states at the Fermi level = 5.57 states/eV/f.u.; total magnetization = 0.00 μB per atom; SG = Pm-3m, No. 221
1.0
5.123 0.000 0.000
0.000 5.123 0.000
0.000 0.000 5.123
Y Al Co
3 1 1
direct
0.000 0.000 0.500
0.000 0.500 0.000
0.500 0.000 0.000
0.500 0.500 0.500
0.000 0.000 0.000

---

It is 1 that is most stable; the runner-up trails by 18.2 kJ/mol of atoms.